ZnIrNO after structural relaxation. Source: the Open Quantum Materials Database, functional PBE-GGA.

Summary:
Density: 10.0 g/cm³
Energy above the lowest structure with this stoichiometry: 461.9 meV/atom
Total magnetization: 0.00 μB/f.u.

abc: 5.5749 7.0766 4.8210
angles: 90.00 90.00 90.00
Last column: nearest neighbours and their distance in Å.
Fractional positions:
1 O 0.5238 0.0838 0.1179  2 Ir 2.00-2.19, 1 Zn 2.13
2 O 0.4762 0.9162 0.6179  2 Ir 2.00-2.19, 1 Zn 2.13
3 O 0.0238 0.9162 0.1179  2 Ir 2.00-2.19, 1 Zn 2.13
4 O 0.9762 0.0838 0.6179  2 Ir 2.00-2.19, 1 Zn 2.13
5 N 0.9325 0.3688 0.0593  1 Ir 1.86, 2 Zn 2.00-2.06
6 N 0.4325 0.6312 0.0593  1 Ir 1.86, 2 Zn 2.00-2.06
7 N 0.5675 0.3688 0.5593  1 Ir 1.86, 2 Zn 2.00-2.06
8 N 0.0675 0.6312 0.5593  1 Ir 1.86, 2 Zn 2.00-2.06
9 Zn 0.9217 0.3684 0.4917  3 N 2.00-2.09, 1 O 2.13
10 Zn 0.4217 0.6316 0.4917  3 N 2.00-2.09, 1 O 2.13
11 Zn 0.0783 0.6316 0.9917  3 N 2.00-2.09, 1 O 2.13
12 Zn 0.5783 0.3684 0.9917  3 N 2.00-2.09, 1 O 2.13
13 Ir 0.3460 0.1728 0.5334  1 N 1.86, 1 O 2.00
14 Ir 0.8460 0.8272 0.5334  1 N 1.86, 1 O 2.00
15 Ir 0.6540 0.8272 0.0334  1 N 1.86, 1 O 2.00
16 Ir 0.1540 0.1728 0.0334  1 N 1.86, 1 O 2.00

***

ZnIrNO after structural relaxation. Source: the Open Quantum Materials Database, functional PBE-GGA.

Summary:
Density: 10.2 g/cm³
Energy above the lowest structure with this stoichiometry: 229.2 meV/atom
Total magnetization: 0.00 μB/f.u.

abc: 4.9949 2.9272 6.3762
angles: 90.00 90.00 90.00
Last column: nearest neighbours and their distance in Å.
Fractional positions:
1 Zn 0.4941 0.5000 0.1305  2 O 1.97-1.99, 2 N 1.97
2 Zn 0.9941 0.5000 0.8695  2 O 1.97-1.99, 2 N 1.97
3 N 0.6394 0.0000 0.3040  2 Ir 1.91-2.00, 2 Zn 1.97
4 N 0.1394 0.0000 0.6960  2 Ir 1.91-2.00, 2 Zn 1.97
5 O 0.5977 0.5000 0.8324  2 Zn 1.97-1.99, 2 Ir 2.18
6 O 0.0977 0.5000 0.1676  2 Zn 1.97-1.99, 2 Ir 2.18
7 Ir 0.5148 0.0000 0.5872  2 N 1.91-2.00
8 Ir 0.0148 0.0000 0.4128  2 N 1.91-2.00

***

ZnIrNO after structural relaxation. Source: the Open Quantum Materials Database, functional PBE-GGA.

Summary:
Density: 9.7 g/cm³
Energy above the lowest structure with this stoichiometry: 318.2 meV/atom
Total magnetization: 0.00 μB/f.u.

abc: 2.7715 5.6534 6.2787
angles: 90.00 90.00 90.00
Last column: nearest neighbours and their distance in Å.
Fractional positions:
1 Ir 0.5000 0.4188 0.7796  2 N 1.93, 1 O 1.96
2 Ir 0.5000 0.9188 0.2204  2 N 1.93, 1 O 1.96
3 O 0.5000 0.3522 0.0860  1 Ir 1.96, 2 Zn 1.99
4 O 0.5000 0.8522 0.9140  1 Ir 1.96, 2 Zn 1.99
5 N 0.0000 0.4682 0.5713  2 Ir 1.93, 1 Zn 1.97
6 N 0.0000 0.9682 0.4287  2 Ir 1.93, 1 Zn 1.97
7 Zn 0.0000 0.0147 0.7396  1 N 1.97, 2 O 1.99
8 Zn 0.0000 0.5147 0.2604  1 N 1.97, 2 O 1.99

***

Which formula does entry 1 have? ZnIrNO

***

energy above the lowest structure with this stoichiometry of number 3 (ZnIrNO)? 318.2 meV/atom